Density functional theory data (GGA+U) for a relaxed structure of RbVFeO4.

Unit cell a=5.007 b=5.929 c=8.527 alpha=90.00 beta=107.27 gamma=90.00
Last column: magnetic moment on the atom in μB.
Atoms (fractional coordinates):
Rb  0.560  0.750  0.865  0.00
Rb  0.440  0.250  0.135  0.00
V  0.155  0.750  0.286  0.07
V  0.845  0.250  0.714  0.07
Fe  0.885  0.750  0.521  3.75
Fe  0.115  0.250  0.479  3.75
O  0.039  0.489  0.676  0.04
O  0.961  0.989  0.324  0.04
O  0.961  0.511  0.324  0.04
O  0.039  0.011  0.676  0.04
O  0.198  0.750  0.097  0.01
O  0.802  0.250  0.903  0.01
O  0.472  0.750  0.436  0.02
O  0.528  0.250  0.564  0.02

Properties
**Raw total energy**: -6.618 eV per atom